# 1
VASP calculation (meta-GGA SCAN) on a PBEsol-optimized structure of MnBe4Os.

Structure (CIF):
```
data_MnBe4Os
_space_group_name_H-M_alt 'F -4 3 m'
_space_group_IT_number 216
_space_group_name_Hall 'F -4 2 3'
_cell_length_a 6.0026
_cell_length_b 6.0026
_cell_length_c 6.0026
_cell_angle_alpha 90.00
_cell_angle_beta 90.00
_cell_angle_gamma 90.00
loop_
_atom_site_label
_atom_site_type_symbol
_atom_site_fract_x
_atom_site_fract_y
_atom_site_fract_z
Mn1 Mn 0.0000 0.0000 0.0000
Be1 Be 0.1250 0.1250 0.6250
Os1 Os 0.2500 0.2500 0.2500
```

Properties
Final energy, eV/atom: -18.372
Mass density, g/cm³: 8.6
E_form, eV/atom: -0.4476



# 2
VASP calculation (meta-GGA SCAN) on a PBEsol-optimized structure of Be2AlTc.

Structure (CIF):
```
data_Be2AlTc
_space_group_name_H-M_alt 'I -4 m 2'
_space_group_IT_number 119
_space_group_name_Hall 'I -4 -2'
_cell_length_a 3.3409
_cell_length_b 3.3409
_cell_length_c 7.8967
_cell_angle_alpha 90.00
_cell_angle_beta 90.00
_cell_angle_gamma 90.00
loop_
_atom_site_label
_atom_site_type_symbol
_atom_site_fract_x
_atom_site_fract_y
_atom_site_fract_z
Be1 Be 0.0000 0.0000 0.0000
Be2 Be 0.0000 0.5000 0.2500
Al1 Al 0.0000 0.0000 0.5000
Tc1 Tc 0.0000 0.5000 0.7500
```

Properties
Final energy, eV/atom: -13.307
Mass density, g/cm³: 5.4
E_form, eV/atom: -0.4268



# 3
VASP calculation (meta-GGA SCAN) on a PBEsol-optimized structure of TiSeSCl2.

Structure (CIF):
```
data_TiSeSCl2
_space_group_name_H-M_alt 'P 4/m m m'
_space_group_IT_number 123
_space_group_name_Hall '-P 4 2'
_cell_length_a 4.6749
_cell_length_b 4.6749
_cell_length_c 4.7785
_cell_angle_alpha 90.00
_cell_angle_beta 90.00
_cell_angle_gamma 90.00
loop_
_atom_site_label
_atom_site_type_symbol
_atom_site_fract_x
_atom_site_fract_y
_atom_site_fract_z
Ti1 Ti 0.0000 0.0000 0.0000
Se1 Se 0.5000 0.5000 0.5000
S1 S 0.0000 0.0000 0.5000
Cl1 Cl 0.0000 0.5000 0.0000
```

Properties
Final energy, eV/atom: -12.930
Mass density, g/cm³: 3.7



# 4
VASP calculation (meta-GGA SCAN) on a PBEsol-optimized structure of K3SrPt.

Structure (CIF):
```
data_K3SrPt
_space_group_name_H-M_alt 'P m -3 m'
_space_group_IT_number 221
_space_group_name_Hall '-P 4 2 3'
_cell_length_a 6.9741
_cell_length_b 6.9741
_cell_length_c 6.9741
_cell_angle_alpha 90.00
_cell_angle_beta 90.00
_cell_angle_gamma 90.00
loop_
_atom_site_label
_atom_site_type_symbol
_atom_site_fract_x
_atom_site_fract_y
_atom_site_fract_z
K1 K 0.0000 0.0000 0.5000
Sr1 Sr 0.0000 0.0000 0.0000
Pt1 Pt 0.5000 0.5000 0.5000
```

Properties
Final energy, eV/atom: -22.206
Relative energy among the computed polymorphs, eV/atom: 1.097
Mass density, g/cm³: 2.0
E_form, eV/atom: 1.2847



# 5
VASP calculation (meta-GGA SCAN) on a PBEsol-optimized structure of Zr8As5.

Structure (CIF):
```
data_Zr8As5
_space_group_name_H-M_alt 'P 1 2/m 1'
_space_group_IT_number 10
_cell_length_a 10.0859
_cell_length_b 3.6862
_cell_length_c 28.4062
_cell_angle_alpha 90.00
_cell_angle_beta 91.33
_cell_angle_gamma 90.00
loop_
_space_group_symop_operation_xyz
'x,y,z'
'-x,-y,-z'
'-x,y,-z'
'x,-y,z'
loop_
_atom_site_label
_atom_site_type_symbol
_atom_site_fract_x
_atom_site_fract_y
_atom_site_fract_z
Zr1 Zr 0.0000 0.0000 0.0000
Zr2 Zr 0.9998 0.0000 0.4424
Zr3 Zr 0.0134 0.5000 0.7356
Zr4 Zr 0.0304 0.5000 0.9176
Zr5 Zr 0.0688 0.0000 0.1724
Zr6 Zr 0.1672 0.5000 0.6275
Zr7 Zr 0.1748 0.5000 0.3779
Zr8 Zr 0.2125 0.5000 0.5044
Zr9 Zr 0.2432 0.0000 0.2837
Zr10 Zr 0.2484 0.5000 0.0155
Zr11 Zr 0.2647 0.0000 0.7844
Zr12 Zr 0.3236 0.5000 0.1278
Zr13 Zr 0.3449 0.5000 0.8849
Zr14 Zr 0.4129 0.0000 0.6699
Zr15 Zr 0.4863 0.5000 0.2350
Zr16 Zr 0.4945 0.5000 0.4185
Zr17 Zr 0.5000 0.0000 0.5000
As1 As 0.0130 0.0000 0.3374
As2 As 0.1249 0.5000 0.8303
As3 As 0.1686 0.0000 0.0817
As4 As 0.2251 0.5000 0.2144
As5 As 0.2320 0.0000 0.9443
As6 As 0.2712 0.5000 0.7154
As7 As 0.2868 0.0000 0.4378
As8 As 0.2994 0.0000 0.5740
As9 As 0.3951 0.5000 0.3284
As10 As 0.4933 0.0000 0.8376
```

Properties
Final energy, eV/atom: -27.727
Relative energy among the computed polymorphs, eV/atom: 0.000
Mass density, g/cm³: 6.9
E_form, eV/atom: -1.0702



# 6
VASP calculation (meta-GGA SCAN) on a PBEsol-optimized structure of RbZnCl2F.

Structure (CIF):
```
data_RbZnCl2F
_space_group_name_H-M_alt 'P 4/m m m'
_space_group_IT_number 123
_space_group_name_Hall '-P 4 2'
_cell_length_a 4.9901
_cell_length_b 4.9901
_cell_length_c 4.0521
_cell_angle_alpha 90.00
_cell_angle_beta 90.00
_cell_angle_gamma 90.00
loop_
_atom_site_label
_atom_site_type_symbol
_atom_site_fract_x
_atom_site_fract_y
_atom_site_fract_z
Rb1 Rb 0.0000 0.0000 0.0000
Zn1 Zn 0.5000 0.5000 0.5000
Cl1 Cl 0.0000 0.5000 0.5000
F1 F 0.5000 0.5000 0.0000
```

Properties
Final energy, eV/atom: -12.720
Mass density, g/cm³: 4.0